Compound: FeSbP2O8
Source: the Alexandria database
Functional: GGA+U
Structure: optimized geometry

```
FeSbP2O8
1.0
4.978 0.000 0.000
0.000 6.437 0.000
-1.950 0.000 9.930
Fe Sb P O
2 2 4 16
Direct
0.144 0.250 0.211
0.856 0.750 0.789
0.275 0.250 0.676
0.725 0.750 0.324
0.135 0.750 0.112
0.241 0.750 0.607
0.759 0.250 0.393
0.865 0.250 0.888
0.101 0.750 0.957
0.121 0.569 0.682
0.121 0.931 0.682
0.134 0.750 0.455
0.161 0.250 0.856
0.293 0.553 0.174
0.293 0.947 0.174
0.446 0.250 0.369
0.554 0.750 0.631
0.707 0.053 0.826
0.707 0.447 0.826
0.839 0.750 0.144
0.866 0.250 0.545
0.879 0.069 0.318
0.879 0.431 0.318
0.899 0.250 0.043
```

- size of the total moment (μB per formula unit) = 4.98
- energy (Ry per atom) = -0.5072



Compound: FeSbP2O
Source: the Alexandria database
Functional: GGA+U
Structure: optimized geometry

```
FeSbP2O
1.0
4.858 0.000 0.000
0.000 4.858 0.000
0.000 0.000 3.633
Fe Sb P O
1 1 2 1
Direct
0.000 0.000 0.000
0.500 0.500 0.500
0.000 0.500 0.000
0.500 0.000 0.000
0.000 0.000 0.500
```

- ΔE to the lowest computed polymorph (kJ/mol of formula units) = 0
- size of the total moment (μB per formula unit) = 3.33